Entry 1:
# UNi2, optimized geometry, DFT PBE-GGA
data_UNi2
_space_group_name_H-M_alt 'P 1'
_space_group_IT_number 1
_space_group_name_Hall 'P 1'
_cell_length_a 4.948
_cell_length_b 4.948
_cell_length_c 4.549
_cell_angle_alpha 90.00
_cell_angle_beta 90.00
_cell_angle_gamma 90.00
loop_
_atom_site_label
_atom_site_fract_x
_atom_site_fract_y
_atom_site_fract_z
U1 0.000 0.000 0.000
U2 0.500 0.500 0.500
Ni1 0.165 0.165 0.500
Ni2 0.335 0.665 0.000
Ni3 0.665 0.335 0.000
Ni4 0.835 0.835 0.500
# formation energy from the elements	0.907	eV/atom

=====

Entry 2:
# AlNi3, optimized geometry, DFT PBE-GGA
data_AlNi3
_space_group_name_H-M_alt 'P 1'
_space_group_IT_number 1
_space_group_name_Hall 'P 1'
_cell_length_a 3.556
_cell_length_b 3.556
_cell_length_c 3.556
_cell_angle_alpha 90.00
_cell_angle_beta 90.00
_cell_angle_gamma 90.00
loop_
_atom_site_label
_atom_site_fract_x
_atom_site_fract_y
_atom_site_fract_z
Al1 0.000 0.000 0.000
Ni1 0.000 0.500 0.500
Ni2 0.500 0.000 0.500
Ni3 0.500 0.500 0.000
# E	-22.2	eV for the cell shown

=====

Entry 3:
# Pr2I2BrN, optimized geometry, DFT PBE-GGA
data_Pr2I2BrN
_space_group_name_H-M_alt 'P 1'
_space_group_IT_number 1
_space_group_name_Hall 'P 1'
_cell_length_a 9.923
_cell_length_b 9.923
_cell_length_c 12.385
_cell_angle_alpha 123.32
_cell_angle_beta 123.32
_cell_angle_gamma 24.13
loop_
_atom_site_label
_atom_site_fract_x
_atom_site_fract_y
_atom_site_fract_z
Pr1 0.076 0.076 0.463
Pr2 0.369 0.369 0.222
Pr3 0.631 0.631 0.778
Pr4 0.924 0.924 0.537
I1 0.165 0.165 0.015
I2 0.454 0.454 0.757
I3 0.546 0.546 0.243
I4 0.835 0.835 0.985
Br1 0.292 0.292 0.380
Br2 0.708 0.708 0.620
N1 0.070 0.070 0.650
N2 0.930 0.930 0.350
# E	-64.1	eV for the cell shown

=====

Entry 4:
# Mg2CdGe, optimized geometry, DFT PBE-GGA
data_Mg2CdGe
_space_group_name_H-M_alt 'P 1'
_space_group_IT_number 1
_space_group_name_Hall 'P 1'
_cell_length_a 4.947
_cell_length_b 4.947
_cell_length_c 4.947
_cell_angle_alpha 60.00
_cell_angle_beta 60.00
_cell_angle_gamma 60.00
loop_
_atom_site_label
_atom_site_fract_x
_atom_site_fract_y
_atom_site_fract_z
Mg1 0.000 0.000 0.000
Mg2 0.250 0.250 0.250
Cd1 0.750 0.750 0.750
Ge1 0.500 0.500 0.500
# E	-8.4	eV for the cell shown

=====

Entry 5:
# TmPdNO, optimized geometry, DFT PBE-GGA
data_TmPdNO
_space_group_name_H-M_alt 'P 1'
_space_group_IT_number 1
_space_group_name_Hall 'P 1'
_cell_length_a 4.132
_cell_length_b 4.132
_cell_length_c 6.919
_cell_angle_alpha 90.00
_cell_angle_beta 90.00
_cell_angle_gamma 90.00
loop_
_atom_site_label
_atom_site_fract_x
_atom_site_fract_y
_atom_site_fract_z
Tm1 0.250 0.250 0.128
Tm2 0.750 0.750 0.872
Pd1 0.250 0.750 0.500
Pd2 0.750 0.250 0.500
N1 0.250 0.250 0.445
N2 0.750 0.750 0.555
O1 0.250 0.750 0.000
O2 0.750 0.250 0.000
# E	-57.3	eV for the cell shown

=====

Entry 6:
# NaAlPt, optimized geometry, DFT PBE-GGA
data_NaAlPt
_space_group_name_H-M_alt 'P 1'
_space_group_IT_number 1
_space_group_name_Hall 'P 1'
_cell_length_a 4.387
_cell_length_b 4.387
_cell_length_c 4.387
_cell_angle_alpha 60.00
_cell_angle_beta 60.00
_cell_angle_gamma 60.00
loop_
_atom_site_label
_atom_site_fract_x
_atom_site_fract_y
_atom_site_fract_z
Na1 0.000 0.000 0.000
Al1 0.750 0.750 0.750
Pt1 0.250 0.250 0.250
# E	-9.9	eV for the cell shown

=====

Entry 7:
# Lu2Pd2O5, optimized geometry, DFT PBE-GGA
data_Lu2Pd2O5
_space_group_name_H-M_alt 'P 1'
_space_group_IT_number 1
_space_group_name_Hall 'P 1'
_cell_length_a 3.977
_cell_length_b 3.977
_cell_length_c 6.777
_cell_angle_alpha 90.00
_cell_angle_beta 90.00
_cell_angle_gamma 90.00
loop_
_atom_site_label
_atom_site_fract_x
_atom_site_fract_y
_atom_site_fract_z
Lu1 0.000 0.000 0.000
Lu2 0.000 0.000 0.500
Pd1 0.500 0.500 0.190
Pd2 0.500 0.500 0.810
O1 0.000 0.500 0.225
O2 0.000 0.500 0.775
O3 0.500 0.000 0.225
O4 0.500 0.000 0.775
O5 0.500 0.500 0.500
# E	-58.4	eV for the cell shown

=====

Entry 8:
# ZrGaPO, optimized geometry, DFT PBE-GGA
data_ZrGaPO
_space_group_name_H-M_alt 'P 1'
_space_group_IT_number 1
_space_group_name_Hall 'P 1'
_cell_length_a 3.817
_cell_length_b 7.823
_cell_length_c 5.288
_cell_angle_alpha 90.00
_cell_angle_beta 90.00
_cell_angle_gamma 90.00
loop_
_atom_site_label
_atom_site_fract_x
_atom_site_fract_y
_atom_site_fract_z
Zr1 0.000 0.145 0.000
Zr2 0.000 0.855 0.500
Ga1 0.500 0.376 0.599
Ga2 0.500 0.624 0.099
P1 0.000 0.186 0.491
P2 0.000 0.814 0.991
O1 0.500 0.237 0.980
O2 0.500 0.763 0.480
# E	-53.8	eV for the cell shown

=====

Entry 9:
# CsNaPuTe3, optimized geometry, DFT PBE-GGA
data_CsNaPuTe3
_space_group_name_H-M_alt 'P 1'
_space_group_IT_number 1
_space_group_name_Hall 'P 1'
_cell_length_a 8.626
_cell_length_b 8.626
_cell_length_c 12.035
_cell_angle_alpha 90.00
_cell_angle_beta 90.00
_cell_angle_gamma 148.20
loop_
_atom_site_label
_atom_site_fract_x
_atom_site_fract_y
_atom_site_fract_z
Cs1 0.241 0.759 0.750
Cs2 0.759 0.241 0.250
Na1 0.050 0.950 0.250
Na2 0.950 0.050 0.750
Pu1 0.500 0.500 0.000
Pu2 0.500 0.500 0.500
Te1 0.121 0.879 0.025
Te2 0.121 0.879 0.475
Te3 0.444 0.556 0.250
Te4 0.556 0.444 0.750
Te5 0.879 0.121 0.525
Te6 0.879 0.121 0.975
# E	-62.7	eV for the cell shown

=====

Entry 10:
# Pm3Al, optimized geometry, DFT PBE-GGA
data_Pm3Al
_space_group_name_H-M_alt 'P 1'
_space_group_IT_number 1
_space_group_name_Hall 'P 1'
_cell_length_a 7.049
_cell_length_b 7.049
_cell_length_c 5.383
_cell_angle_alpha 90.00
_cell_angle_beta 90.00
_cell_angle_gamma 120.00
loop_
_atom_site_label
_atom_site_fract_x
_atom_site_fract_y
_atom_site_fract_z
Pm1 0.178 0.355 0.250
Pm2 0.178 0.822 0.250
Pm3 0.355 0.178 0.750
Pm4 0.645 0.822 0.250
Pm5 0.822 0.178 0.750
Pm6 0.822 0.645 0.750
Al1 0.333 0.667 0.750
Al2 0.667 0.333 0.250
# E	-37.5	eV for the cell shown

=====

Entry 11:
# DyOsAu, optimized geometry, DFT PBE-GGA
data_DyOsAu
_space_group_name_H-M_alt 'P 1'
_space_group_IT_number 1
_space_group_name_Hall 'P 1'
_cell_length_a 4.570
_cell_length_b 4.570
_cell_length_c 4.570
_cell_angle_alpha 60.00
_cell_angle_beta 60.00
_cell_angle_gamma 60.00
loop_
_atom_site_label
_atom_site_fract_x
_atom_site_fract_y
_atom_site_fract_z
Dy1 0.000 0.000 0.000
Os1 0.750 0.750 0.750
Au1 0.500 0.500 0.500
# formation energy from the elements	0.374	eV/atom

=====

Entry 12:
# RePPtO, optimized geometry, DFT PBE-GGA
data_RePPtO
_space_group_name_H-M_alt 'P 1'
_space_group_IT_number 1
_space_group_name_Hall 'P 1'
_cell_length_a 3.578
_cell_length_b 6.045
_cell_length_c 4.995
_cell_angle_alpha 90.00
_cell_angle_beta 90.00
_cell_angle_gamma 90.00
loop_
_atom_site_label
_atom_site_fract_x
_atom_site_fract_y
_atom_site_fract_z
Re1 0.000 0.188 0.000
Re2 0.000 0.812 0.500
P1 0.000 0.245 0.522
P2 0.000 0.755 0.022
Pt1 0.500 0.444 0.354
Pt2 0.500 0.556 0.854
O1 0.500 0.077 0.966
O2 0.500 0.923 0.466
# E	-60.9	eV for the cell shown

=====

Entry 13:
# LiTaCuSb, optimized geometry, DFT PBE-GGA
data_LiTaCuSb
_space_group_name_H-M_alt 'P 1'
_space_group_IT_number 1
_space_group_name_Hall 'P 1'
_cell_length_a 4.533
_cell_length_b 4.533
_cell_length_c 4.533
_cell_angle_alpha 60.00
_cell_angle_beta 60.00
_cell_angle_gamma 60.00
loop_
_atom_site_label
_atom_site_fract_x
_atom_site_fract_y
_atom_site_fract_z
Li1 0.000 0.000 0.000
Ta1 0.750 0.750 0.750
Cu1 0.500 0.500 0.500
Sb1 0.250 0.250 0.250
# E	-19.7	eV for the cell shown